Computed, not measured: a relaxed structure of BaSiAu2 at the GGA-PBE level of DFT.

Properties
Its uncorrected formation energy is 9 meV/atom. The energy is -3.4666 eV/atom.

Lattice parameters (Å, degrees): 5.1723 5.1723 5.1723 121.10 121.10 88.11
Fractional coordinates of all 4 atoms:
Au  0.0000  0.0000  0.0000
Au  0.2500  0.7500  0.5000
Ba  0.5000  0.5000  0.0000
Si  0.7500  0.2500  0.5000